GaMoWO6: relaxed, PBE with a Hubbard U.

a b c (Å): 4.6676 4.6676 9.5234
angles (deg): 90.00 90.00 90.00
Last column: nearest neighbours and their distance in Å.
Atoms (fractional coordinates):
O (0.1927, 0.8073, 0.4992)  1 Ga 2.02, 1 Mo 2.03, 1 W 2.05
O (0.7023, 0.7023, 0.6698)  1 W 1.97, 1 Ga 2.06, 1 Mo 2.10
Mo (0.0000, 0.0000, 0.9996)  6 O 2.03-2.10
O (0.2023, 0.7977, 0.1698)  1 W 1.97, 1 Ga 2.06, 1 Mo 2.10
O (0.3073, 0.3073, 0.9992)  1 Ga 2.02, 1 Mo 2.03, 1 W 2.05
W (0.5000, 0.5000, 0.1675)  6 O 1.97-2.05
O (0.3019, 0.3019, 0.3305)  1 Ga 1.99, 1 W 2.03, 1 Mo 2.08
O (0.1981, 0.8019, 0.8305)  1 Ga 1.99, 1 W 2.03, 1 Mo 2.08
Mo (0.5000, 0.5000, 0.4996)  6 O 2.03-2.10
O (0.8019, 0.1981, 0.8305)  1 Ga 1.99, 1 W 2.03, 1 Mo 2.08
O (0.7977, 0.2023, 0.1698)  1 W 1.97, 1 Ga 2.06, 1 Mo 2.10
W (0.0000, 0.0000, 0.6675)  6 O 1.97-2.05
Ga (0.5000, 0.5000, 0.8341)  6 O 1.99-2.06
O (0.2977, 0.2977, 0.6698)  1 W 1.97, 1 Ga 2.06, 1 Mo 2.10
O (0.6981, 0.6981, 0.3305)  1 Ga 1.99, 1 W 2.03, 1 Mo 2.08
O (0.6927, 0.6927, 0.9992)  1 Ga 2.02, 1 Mo 2.03, 1 W 2.05
O (0.8073, 0.1927, 0.4992)  1 Ga 2.02, 1 Mo 2.03, 1 W 2.05
Ga (0.0000, 0.0000, 0.3341)  6 O 1.99-2.06

- M_tot: 6.000 μB/cell
- Raw total energy: -7.1078 eV per atom
- Space-group type: P4_2nm